# DyEr3Th

DyEr3Th after structural relaxation (PBE, Alexandria via LeMat-Bulk).

Lattice parameters (Å, degrees): 6.2246 6.6843 8.3998 102.93 111.56 90.14
Positions (direct):
Dy (0.2185, 0.3452, 0.1005)
Dy (0.7815, 0.6548, 0.8995)
Er (0.0216, 0.9446, 0.6988)
Er (0.3849, 0.8429, 0.0970)
Er (0.4097, 0.7486, 0.4983)
Er (0.5903, 0.2514, 0.5017)
Er (0.6151, 0.1571, 0.9030)
Er (0.9784, 0.0554, 0.3011)
Th (0.1767, 0.4451, 0.6963)
Th (0.8233, 0.5549, 0.3037)

## Properties
Crystal system: triclinic
Formation enthalpy at 0 K, eV/f.u.: 0.11
Energy above the most stable polymorph in this dataset, meV/atom: 0

---

# Zr2TlSi

Zr2TlSi after structural relaxation (PBE, Alexandria via LeMat-Bulk).

Lattice parameters (Å, degrees): 6.3139 8.3066 3.1266 90.00 90.00 90.00
Positions (direct):
Zr (0.2500, 0.2500, 0.0000)
Zr (0.2500, 0.7500, 0.0000)
Zr (0.7500, 0.2500, 0.0000)
Zr (0.7500, 0.7500, 0.0000)
Tl (0.0000, 0.0000, 0.5000)
Tl (0.5000, 0.5000, 0.5000)
Si (0.0000, 0.5000, 0.5000)
Si (0.5000, 0.0000, 0.5000)

## Properties
Crystal system: orthorhombic
ΔE_f (raw), eV per atom: -0.192

---

# Na4Y3Te8Pb

Na4Y3Te8Pb after structural relaxation (PBE, Alexandria via LeMat-Bulk).

Lattice parameters (Å, degrees): 9.1684 9.1684 9.1684 58.17 58.17 58.17
Positions (direct):
Na (0.0000, 0.0000, 0.0000)
Na (0.0000, 0.5000, 0.5000)
Na (0.5000, 0.0000, 0.5000)
Na (0.5000, 0.5000, 0.0000)
Y (0.0000, 0.0000, 0.5000)
Y (0.0000, 0.5000, 0.0000)
Y (0.5000, 0.0000, 0.0000)
Te (0.2359, 0.7493, 0.7493)
Te (0.2441, 0.2441, 0.2441)
Te (0.2507, 0.2507, 0.7641)
Te (0.2507, 0.7641, 0.2507)
Te (0.7493, 0.2359, 0.7493)
Te (0.7493, 0.7493, 0.2359)
Te (0.7559, 0.7559, 0.7559)
Te (0.7641, 0.2507, 0.2507)
Pb (0.5000, 0.5000, 0.5000)

## Properties
Crystal system: trigonal
ΔE_f (raw), eV per atom: -1.105

---

Q: Which DFT total energy values were calculated for the entries above? A: -5.119 -6.413 -4.449, in eV per atom.